A plane-wave DFT calculation with PBE+U was carried out for Eu3Cr5O12 after structural relaxation.

Lattice parameters (Å, degrees): 10.9989 10.9989 10.9989 109.47 109.47 109.47
Sites, in units of the cell vectors:
Eu 0.1250 0.2500 0.3750
Eu 0.1250 0.3750 0.7500
Eu 0.2500 0.3750 0.1250
Eu 0.2500 0.8750 0.6250
Eu 0.3750 0.1250 0.2500
Eu 0.3750 0.7500 0.1250
Eu 0.6250 0.2500 0.8750
Eu 0.6250 0.8750 0.7500
Eu 0.7500 0.1250 0.3750
Eu 0.7500 0.6250 0.8750
Eu 0.8750 0.6250 0.2500
Eu 0.8750 0.7500 0.6250
Cr 0.0000 0.0000 0.0000
Cr 0.0000 0.0000 0.5000
Cr 0.0000 0.5000 0.0000
Cr 0.0000 0.5000 0.5000
Cr 0.1250 0.7500 0.8750
Cr 0.1250 0.8750 0.2500
Cr 0.2500 0.1250 0.8750
Cr 0.2500 0.6250 0.3750
Cr 0.3750 0.2500 0.6250
Cr 0.3750 0.6250 0.7500
Cr 0.5000 0.0000 0.0000
Cr 0.5000 0.0000 0.5000
Cr 0.5000 0.5000 0.0000
Cr 0.5000 0.5000 0.5000
Cr 0.6250 0.3750 0.2500
Cr 0.6250 0.7500 0.3750
Cr 0.7500 0.3750 0.6250
Cr 0.7500 0.8750 0.1250
Cr 0.8750 0.1250 0.7500
Cr 0.8750 0.2500 0.1250
O 0.0185 0.1989 0.1195
O 0.0185 0.3195 0.8990
O 0.0794 0.6989 0.6805
O 0.0794 0.8805 0.3990
O 0.1010 0.6195 0.4206
O 0.1010 0.9815 0.6805
O 0.1195 0.0185 0.1989
O 0.1195 0.6010 0.9206
O 0.1805 0.1989 0.5794
O 0.1805 0.4815 0.6010
O 0.1989 0.1195 0.0185
O 0.1989 0.5794 0.1805
O 0.3011 0.3195 0.9206
O 0.3011 0.4815 0.3805
O 0.3195 0.8990 0.0185
O 0.3195 0.9206 0.3011
O 0.3805 0.3011 0.4815
O 0.3805 0.5794 0.8990
O 0.3990 0.0794 0.8805
O 0.3990 0.8195 0.5185
O 0.4206 0.1010 0.6195
O 0.4206 0.8195 0.8011
O 0.4815 0.3805 0.3011
O 0.4815 0.6010 0.1805
O 0.5185 0.3990 0.8195
O 0.5185 0.6195 0.6989
O 0.5794 0.1805 0.1989
O 0.5794 0.8990 0.3805
O 0.6010 0.1805 0.4815
O 0.6010 0.9206 0.1195
O 0.6195 0.4206 0.1010
O 0.6195 0.6989 0.5185
O 0.6805 0.0794 0.6989
O 0.6805 0.1010 0.9815
O 0.6989 0.5185 0.6195
O 0.6989 0.6805 0.0794
O 0.8011 0.4206 0.8195
O 0.8011 0.8805 0.9815
O 0.8195 0.5185 0.3990
O 0.8195 0.8011 0.4206
O 0.8805 0.3990 0.0794
O 0.8805 0.9815 0.8011
O 0.8990 0.0185 0.3195
O 0.8990 0.3805 0.5794
O 0.9206 0.1195 0.6010
O 0.9206 0.3011 0.3195
O 0.9815 0.6805 0.1010
O 0.9815 0.8011 0.8805

Values from the calculation:
* crystal system: cubic
* E_tot: -685.842 eV/cell
* magnetic moment: 84.0 μB/cell
* volume: 12.80 A^3/atom
* density of states at the Fermi level: 120.44 states/eV/cell